A plane-wave DFT calculation with GGA-PBE was carried out for a geometry-optimized Hf3CuRe structure.

The volume comes out at 126.2 Å³ per cell. Its relative energy among the computed polymorphs is 0 meV per atom. The total energy comes out at -42.24 eV for the cell shown. As for the formation energy: 834 meV/atom.

Cell and atoms, written as extended XYZ:
```
5
Lattice="5.0163 0.0000 0.0000 0.0000 5.0163 0.0000 0.0000 0.0000 5.0163" Properties=species:S:1:pos:R:3 pbc="T T T"
Hf 0.0000 0.0000 2.5082
Hf 0.0000 2.5082 0.0000
Hf 2.5082 0.0000 0.0000
Cu 2.5082 2.5082 2.5082
Re 0.0000 0.0000 0.0000
```